This record from Alexandria describes ZrPICl2 after structural relaxation. The functional is PBE.

Cell: 4.9385 4.9385 5.4586 Å, 90.00 90.00 90.00°
Last column: nearest neighbours and their distance in Å.
Fractional coordinates of all 5 atoms:
I (0.5000, 0.5000, 0.5000)  4 P 3.49, 8 Cl 3.68
P (0.0000, 0.0000, 0.5000)  2 Zr 2.73
Zr (0.0000, 0.0000, 0.0000)  4 Cl 2.47, 2 P 2.73
Cl (0.0000, 0.5000, 0.0000)  2 Zr 2.47
Cl (0.5000, 0.0000, 0.0000)  2 Zr 2.47

Properties
Energy relative to the elements, uncorrected, eV per atom: -0.610
Energy relative to the lowest polymorph listed for this composition, eV/atom: 0.000
Volume, Å³/atom: 26.63
VASP energy, hartree per atom: -0.164
N(E_F), states/eV/f.u.: 3.054

=====

This record from Alexandria describes LaTbPt2 after structural relaxation. The functional is PBE.

Cell: 4.1081 4.1081 7.4785 Å, 74.06 74.06 60.00°
Last column: nearest neighbours and their distance in Å.
Fractional coordinates of all 4 atoms:
La (0.4972, 0.4972, 0.5085)  6 Pt 2.97-3.04
Tb (0.6694, 0.6694, 0.9918)  6 Pt 2.89-2.95
Pt (0.0800, 0.0800, 0.7599)  3 Tb 2.89, 3 La 2.97
Pt (0.2534, 0.2534, 0.2399)  3 Tb 2.95, 3 La 3.04

Properties
DFT formation energy, eV/f.u.: -4.3
Energy relative to the lowest polymorph listed for this composition, eV/atom: 0.155
Volume, Å³/atom: 25.92
VASP energy, hartree per atom: -0.238
N(E_F), states/eV/f.u.: 2.514